An optimized crystal structure of CaMn2Br2O2. Source: Alexandria, functional PBE+U.

Output
Density of states at the Fermi level in states/eV per cell: 0.0
Energy in eV/atom: -5.98
Magnetic moment in μB per cell: 10.0

The structure in extended XYZ format:
```
7
Lattice="-0.9085 -2.9881 -1.3239 5.4716 -3.7725 -3.9364 8.2170 -1.9232 3.0447" Properties=species:S:1:pos:R:3 pbc="T T T"
Mn 4.9454 -4.8851 -1.0633
Mn 7.8348 -3.7987 -1.1523
Br 2.7645 -0.9657 0.2829
Br 10.0156 -7.7181 -2.4985
Ca 0.0000 0.0000 0.0000
O 4.9594 -5.9582 -2.9971
O 7.8208 -2.7256 0.7815
```